[1]
Density functional theory data (PBE) for a relaxed AlAs2W crystal.

a b c (Å): 6.3645 6.3645 6.3645
angles (deg): 90.00 90.00 90.00
Space group Fm-3m (No. 225)
One atom of each set of equivalent atoms:
1 Al 0.0000 0.0000 0.0000
2 As 0.2500 0.2500 0.2500
3 W 0.0000 0.0000 0.5000

Values from the calculation:
* formation enthalpy at 0 K: 0.329 eV per atom
* energy relative to the lowest polymorph listed for this composition: 0.264 eV/atom



[2]
Density functional theory data (PBE) for a relaxed HoScTl2 crystal.

a b c (Å): 3.6848 3.6848 7.4114
angles (deg): 90.00 90.00 90.00
Space group P4/mmm (No. 123)
One atom of each set of equivalent atoms:
1 Ho 0.0000 0.0000 0.0000
2 Sc 0.0000 0.0000 0.5000
3 Tl 0.5000 0.5000 0.2636

Values from the calculation:
* formation enthalpy at 0 K: -0.292 eV per atom



[3]
Density functional theory data (PBE) for a relaxed V2GaPbC crystal.

a b c (Å): 5.0814 5.0814 4.2954
angles (deg): 90.00 90.00 90.00
Space group P4/mmm (No. 123)
One atom of each set of equivalent atoms:
1 V 0.0000 0.5000 0.0000
2 Ga 0.0000 0.0000 0.5000
3 Pb 0.5000 0.5000 0.0000
4 C 0.5000 0.5000 0.5000

Values from the calculation:
* formation enthalpy at 0 K: 2.439 eV per atom



[4]
Density functional theory data (PBE) for a relaxed CsIn2BiIr crystal.

a b c (Å): 5.3506 5.3506 5.7487
angles (deg): 90.00 90.00 90.00
Space group P4/mmm (No. 123)
One atom of each set of equivalent atoms:
1 Cs 0.0000 0.0000 0.0000
2 In 0.0000 0.5000 0.5000
3 Bi 0.5000 0.5000 0.0000
4 Ir 0.5000 0.5000 0.5000

Values from the calculation:
* formation enthalpy at 0 K: 0.030 eV per atom



[5]
Density functional theory data (PBE) for a relaxed BaSi2Os crystal.

a b c (Å): 4.3173 6.4028 7.7186
angles (deg): 90.00 90.00 90.00
Space group Imm2 (No. 44)
One atom of each set of equivalent atoms:
1 Ba 0.0000 0.0000 0.0000
2 Si 0.0000 0.0000 0.4887
3 Si 0.0000 0.5000 0.1750
4 Os 0.0000 0.5000 0.8801

Values from the calculation:
* raw formation energy: 1.532 eV/f.u.



[6]
Density functional theory data (PBE) for a relaxed Cs4Au2O crystal.

a b c (Å): 14.5865 4.5736 9.6294
angles (deg): 90.00 116.16 90.00
Space group C2/m (No. 12)
One atom of each set of equivalent atoms:
1 Cs 0.0561 0.0000 0.3282
2 Cs 0.1430 0.5000 0.0493
3 Au 0.1518 0.5000 0.6687
4 O 0.0000 0.0000 0.0000

Values from the calculation:
* energy relative to the lowest polymorph listed for this composition: 0.000 eV/atom
* raw formation energy: -4.250 eV/f.u.



[7]
Density functional theory data (PBE) for a relaxed Nd4Sm2Er5 crystal.

a b c (Å): 19.5650 5.8265 6.3873
angles (deg): 90.00 94.31 90.00
Space group C2/m (No. 12)
One atom of each set of equivalent atoms:
1 Nd 0.0336 0.0000 0.2672
2 Nd 0.1939 0.5000 0.0727
3 Sm 0.0987 0.5000 0.5457
4 Er 0.0000 0.5000 0.0000
5 Er 0.1313 0.0000 0.8586
6 Er 0.2136 0.0000 0.3950

Values from the calculation:
* formation enthalpy at 0 K: 0.103 eV per atom
* energy relative to the lowest polymorph listed for this composition: 0.000 eV/atom



[8]
Density functional theory data (PBE) for a relaxed In3Hg3Bi2 crystal.

a b c (Å): 8.7985 8.7985 3.4947
angles (deg): 90.00 90.00 120.00
Space group P-62m (No. 189)
One atom of each set of equivalent atoms:
1 In 0.0000 0.6438 0.0000
2 Hg 0.0000 0.2222 0.5000
3 Bi 0.3333 0.6667 0.5000

Values from the calculation:
* formation enthalpy at 0 K: 0.049 eV per atom



[9]
Density functional theory data (PBE) for a relaxed Li2ErCu9 crystal.

a b c (Å): 4.9456 4.9456 24.3860
angles (deg): 90.00 90.00 120.00
Space group R-3m (No. 166, hexagonal axes)
One atom of each set of equivalent atoms:
1 Li 0.0000 0.0000 0.1475
2 Er 0.0000 0.0000 0.0000
3 Cu 0.0000 0.0000 0.3326
4 Cu 0.0000 0.0000 0.5000
5 Cu 0.0012 0.5006 0.9155

Values from the calculation:
* formation enthalpy at 0 K: -0.121 eV per atom
* energy relative to the lowest polymorph listed for this composition: 0.000 eV/atom



[10]
Density functional theory data (PBE) for a relaxed Ac6Co2Sn crystal.

a b c (Å): 10.1446 10.8534 10.9699
angles (deg): 90.00 90.00 90.00
Space group Immm (No. 71)
One atom of each set of equivalent atoms:
1 Ac 0.0000 0.2004 0.2292
2 Ac 0.1822 0.5000 0.1721
3 Ac 0.2105 0.3204 0.5000
4 Co 0.0000 0.3515 0.0000
5 Co 0.0000 0.5000 0.3952
6 Sn 0.0000 0.0000 0.0000
7 Sn 0.0000 0.0000 0.5000

Values from the calculation:
* formation enthalpy at 0 K: -0.153 eV per atom
* energy relative to the lowest polymorph listed for this composition: 0.000 eV/atom



[11]
Density functional theory data (PBE) for a relaxed Ca2TaPd crystal.

a b c (Å): 7.3006 7.3006 7.3006
angles (deg): 90.00 90.00 90.00
Space group Fm-3m (No. 225)
One atom of each set of equivalent atoms:
1 Ca 0.2500 0.2500 0.2500
2 Ta 0.0000 0.0000 0.0000
3 Pd 0.0000 0.0000 0.5000

Values from the calculation:
* formation enthalpy at 0 K: 0.555 eV per atom
* energy relative to the lowest polymorph listed for this composition: 0.000 eV/atom



[12]
Density functional theory data (PBE) for a relaxed K2FeW crystal.

a b c (Å): 3.1927 6.1994 12.1229
angles (deg): 90.00 90.00 90.00
Space group Imm2 (No. 44)
One atom of each set of equivalent atoms:
1 K 0.0000 0.0000 0.0000
2 K 0.0000 0.5000 0.2027
3 Fe 0.0000 0.0000 0.4363
4 W 0.0000 0.5000 0.8113

Values from the calculation:
* formation enthalpy at 0 K: 1.260 eV per atom
* energy relative to the lowest polymorph listed for this composition: 0.359 eV/atom



| no. | spin magnetization (μB per formula unit) |
| --- | --- |
| 1 | 0.0 |
| 2 | 0.0 |
| 3 | 0.0 |
| 4 | 0.0 |
| 5 | 0.0 |
| 6 | 0.1 |
| 7 | 0.0 |
| 8 | 0.0 |
| 9 | 0.0 |
| 10 | 0.2 |
| 11 | 3.7 |
| 12 | 1.6 |